Entry 1:
Compound: KNd2CuSe4
Source: the Alexandria database
Functional: PBE
Structure: relaxed

## Properties
size of the total moment: 0.00 μB/f.u.
raw total energy: -81.5 eV/cell
calculated volume: 224 Å³/f.u.
uncorrected formation energy: -12.10 eV/f.u.

a b c (Å): 7.537 7.537 14.668
angles (deg): 90.00 90.00 147.47
Sites, in units of the cell vectors:
K (0.110, 0.890, 0.750)
K (0.890, 0.110, 0.250)
Nd (0.365, 0.635, 0.564)
Nd (0.365, 0.635, 0.936)
Nd (0.635, 0.365, 0.064)
Nd (0.635, 0.365, 0.436)
Cu (0.160, 0.840, 0.250)
Cu (0.840, 0.160, 0.750)
Se (0.000, 0.000, 0.000)
Se (0.000, 0.000, 0.500)
Se (0.265, 0.735, 0.116)
Se (0.265, 0.735, 0.384)
Se (0.435, 0.565, 0.750)
Se (0.565, 0.435, 0.250)
Se (0.735, 0.265, 0.616)
Se (0.735, 0.265, 0.884)

Entry 2:
Compound: Tc3NiMo
Source: the Alexandria database
Functional: PBE
Structure: relaxed

## Properties
size of the total moment: 0.00 μB/f.u.
DFT formation energy: 1.481 eV/atom
raw total energy: -40.3 eV/cell
calculated volume: 83 Å³/f.u.

a b c (Å): 4.364 4.364 4.364
angles (deg): 90.00 90.00 90.00
Sites, in units of the cell vectors:
Tc (0.000, 0.000, 0.500)
Tc (0.000, 0.500, 0.000)
Tc (0.500, 0.000, 0.000)
Ni (0.000, 0.000, 0.000)
Mo (0.500, 0.500, 0.500)

Entry 3:
Compound: Sr2TaW
Source: the Alexandria database
Functional: PBE
Structure: relaxed

## Properties
size of the total moment: 0.00 μB/f.u.
DFT formation energy: 1.259 eV/atom
raw total energy: -23.1 eV/cell
calculated volume: 96 Å³/f.u.

a b c (Å): 6.269 6.269 6.269
angles (deg): 141.34 141.05 56.04
Sites, in units of the cell vectors:
Sr (0.249, 0.249, 0.000)
Sr (0.751, 0.751, 0.000)
Ta (0.500, 0.000, 0.500)
W (0.000, 0.500, 0.500)

Entry 4:
Compound: AcZrHg2
Source: the Alexandria database
Functional: PBE
Structure: relaxed

## Properties
size of the total moment: 0.00 μB/f.u.
DFT formation energy: -0.044 eV/atom
raw total energy: -13.4 eV/cell
calculated volume: 115 Å³/f.u.

a b c (Å): 9.896 9.896 9.896
angles (deg): 21.58 21.58 21.58
Sites, in units of the cell vectors:
Ac (0.000, 0.000, 0.000)
Zr (0.500, 0.500, 0.500)
Hg (0.239, 0.239, 0.239)
Hg (0.761, 0.761, 0.761)

Entry 5:
Compound: Na3Th2ScTe6
Source: the Alexandria database
Functional: PBE
Structure: relaxed

## Properties
size of the total moment: 0.00 μB/f.u.
raw total energy: -57.4 eV/cell
calculated volume: 381 Å³/f.u.
uncorrected formation energy: -13.46 eV/f.u.

a b c (Å): 7.548 7.548 8.132
angles (deg): 98.92 98.92 120.02
Sites, in units of the cell vectors:
Na (0.000, 0.000, 0.000)
Na (0.327, 0.673, 0.000)
Na (0.673, 0.327, 0.000)
Th (0.166, 0.834, 0.500)
Th (0.834, 0.166, 0.500)
Sc (0.500, 0.500, 0.500)
Te (0.104, 0.421, 0.263)
Te (0.263, 0.263, 0.738)
Te (0.421, 0.104, 0.263)
Te (0.579, 0.896, 0.737)
Te (0.737, 0.737, 0.262)
Te (0.896, 0.579, 0.737)

Please write out number 4 again, unchanged.
Compound: AcZrHg2
Source: the Alexandria database
Functional: PBE
Structure: relaxed

## Properties
size of the total moment: 0.00 μB/f.u.
DFT formation energy: -0.044 eV/atom
raw total energy: -13.4 eV/cell
calculated volume: 115 Å³/f.u.

a b c (Å): 9.896 9.896 9.896
angles (deg): 21.58 21.58 21.58
Sites, in units of the cell vectors:
Ac (0.000, 0.000, 0.000)
Zr (0.500, 0.500, 0.500)
Hg (0.239, 0.239, 0.239)
Hg (0.761, 0.761, 0.761)